# 1
Material: Li2Sm
Method: DFT, GGA-PBE
State: optimized geometry

Lattice parameters (Å, degrees): 6.121 6.121 6.121 145.52 145.52 49.56
Fractional coordinates of all 3 atoms:
Li  0.192  0.192  0.000
Li  0.808  0.808  0.000
Sm  0.500  0.500  0.000

Summary:
**Space-group type**: I4/mmm
**Total moment**: 0.089 μB per atom
**ΔE to the lowest computed polymorph**: 22 meV per atom
**Energy relative to the elements**: 128 meV/atom
**D(E_F)**: 3.04 states/eV per cell


# 2
Material: Li3Sm
Method: DFT, GGA-PBE
State: optimized geometry

Lattice parameters (Å, degrees): 5.647 5.647 5.647 132.94 132.94 68.75
Fractional coordinates of all 4 atoms:
Li  0.000  0.000  0.000
Li  0.250  0.750  0.500
Li  0.750  0.250  0.500
Sm  0.500  0.500  0.000

Summary:
**Space-group type**: I4/mmm
**Total moment**: 0.000 μB per atom
**ΔE to the lowest computed polymorph**: 154 meV per atom
**Energy relative to the elements**: 193 meV/atom
**D(E_F)**: 3.14 states/eV per cell


# 3
Material: Li3Sm
Method: DFT, GGA-PBE
State: optimized geometry

Lattice parameters (Å, degrees): 3.211 5.306 5.677 90.00 90.00 90.00
Fractional coordinates of all 4 atoms:
Li  0.000  0.000  0.000
Li  0.000  0.500  0.289
Li  0.500  0.000  0.446
Sm  0.500  0.500  0.793

Summary:
**Space-group type**: Pmm2
**Total moment**: 0.000 μB per atom
**ΔE to the lowest computed polymorph**: 112 meV per atom
**Energy relative to the elements**: 151 meV/atom
**D(E_F)**: 3.23 states/eV per cell